DFT (PBE-GGA) results for DyCuAgAu after structural relaxation.

a b c (Å): 4.789 4.789 4.789
angles (deg): 60.00 60.00 60.00
Atoms (fractional coordinates):
Cu: 0.250 0.250 0.250
Dy: 0.000 0.000 0.000
Ag: 0.500 0.500 0.500
Au: 0.750 0.750 0.750

Results
energy relative to the elements	-140	kJ/mol of formula units
total magnetic moment	0.000	μB per formula unit
crystal system	cubic


DFT (PBE-GGA) results for AsSeCl2 after structural relaxation.

a b c (Å): 4.363 4.363 9.712
angles (deg): 77.02 77.02 90.00
Atoms (fractional coordinates):
Cl: 0.134 0.625 0.250
Cl: 0.375 0.384 0.750
Cl: 0.616 0.125 0.250
Cl: 0.875 0.866 0.750
As: 0.250 0.750 0.500
As: 0.500 0.500 0.000
Se: 0.750 0.250 0.500
Se: 0.000 0.000 0.000

Results
energy above the lowest structure with this stoichiometry	601	meV per atom
formation energy (no corrections)	1.106	eV/f.u.
total magnetic moment	0.000	μB per formula unit
crystal system	tetragonal


DFT (PBE-GGA) results for CuHg2SbO4 after structural relaxation.

a b c (Å): 7.586 4.598 5.832
angles (deg): 112.57 127.06 92.61
Atoms (fractional coordinates):
O: 0.461 0.824 0.284
O: 0.841 0.688 0.871
O: 0.703 0.335 0.169
O: 0.025 0.106 0.704
Sb: 0.751 0.742 0.502
Cu: 0.146 0.597 0.105
Hg: 0.381 0.870 0.786
Hg: 0.079 0.227 0.353

Results
formation energy (no corrections)	-4.876	eV/f.u.
total magnetic moment	0.000	μB per formula unit
crystal system	triclinic


DFT (PBE-GGA) results for Pm2ScIn3 after structural relaxation.

a b c (Å): 3.709 3.709 11.537
angles (deg): 90.00 90.00 90.00
Atoms (fractional coordinates):
Pm: 0.500 0.500 0.177
Pm: 0.500 0.500 0.823
In: 0.000 0.000 0.000
In: 0.000 0.000 0.356
In: 0.000 0.000 0.644
Sc: 0.500 0.500 0.500

Results
energy relative to the elements	-272	kJ/mol of formula units
total magnetic moment	0.000	μB per formula unit
crystal system	tetragonal


DFT (PBE-GGA) results for LaEr4Mg after structural relaxation.

a b c (Å): 5.432 11.119 6.660
angles (deg): 90.00 114.07 90.00
Atoms (fractional coordinates):
Mg: 0.348 0.186 0.695
Mg: 0.652 0.686 0.305
La: 0.179 0.420 0.357
La: 0.821 0.920 0.643
Er: 0.493 0.439 0.985
Er: 0.979 0.207 0.957
Er: 0.167 0.980 0.334
Er: 0.021 0.707 0.043
Er: 0.322 0.701 0.644
Er: 0.833 0.480 0.666
Er: 0.507 0.939 0.015
Er: 0.678 0.201 0.356

Results
energy relative to the elements	18	kJ/mol of formula units
energy above the lowest structure with this stoichiometry	32	meV per atom
total magnetic moment	0.000	μB per formula unit
crystal system	orthorhombic


DFT (PBE-GGA) results for Dy5Tm5In2 after structural relaxation.

a b c (Å): 4.896 10.270 10.850
angles (deg): 136.48 90.00 103.79
Atoms (fractional coordinates):
Dy: 0.411 0.822 0.085
Dy: 0.664 0.329 0.333
Dy: 0.336 0.671 0.667
Dy: 0.500 0.000 0.500
Dy: 0.589 0.178 0.915
Tm: 0.747 0.494 0.758
Tm: 0.917 0.834 0.579
Tm: 0.253 0.506 0.242
Tm: 0.083 0.166 0.421
Tm: 0.000 0.000 0.000
In: 0.842 0.684 0.184
In: 0.158 0.316 0.816

Results
energy relative to the elements	-143	kJ/mol of formula units
total magnetic moment	0.000	μB per formula unit
crystal system	monoclinic


DFT (PBE-GGA) results for SmTh4In5 after structural relaxation.

a b c (Å): 3.525 3.525 22.907
angles (deg): 90.00 90.00 90.00
Atoms (fractional coordinates):
Th: 0.000 0.000 0.399
Th: 0.000 0.000 0.198
Th: 0.000 0.000 0.601
Th: 0.000 0.000 0.802
In: 0.500 0.500 0.298
In: 0.500 0.500 0.702
In: 0.500 0.500 0.903
In: 0.500 0.500 0.500
In: 0.500 0.500 0.097
Sm: 0.000 0.000 0.000

Results
energy relative to the elements	-312	kJ/mol of formula units
total magnetic moment	0.003	μB per formula unit
crystal system	tetragonal


DFT (PBE-GGA) results for CaTb14Nd after structural relaxation.

a b c (Å): 7.309 7.309 11.413
angles (deg): 90.00 90.00 120.09
Atoms (fractional coordinates):
Tb: 0.167 0.334 0.500
Tb: 0.168 0.335 0.000
Tb: 0.667 0.333 0.500
Tb: 0.333 0.667 0.249
Tb: 0.166 0.834 0.500
Tb: 0.329 0.165 0.255
Tb: 0.665 0.832 0.000
Tb: 0.333 0.667 0.751
Tb: 0.836 0.164 0.747
Tb: 0.835 0.671 0.255
Tb: 0.666 0.833 0.500
Tb: 0.836 0.164 0.253
Tb: 0.329 0.165 0.745
Tb: 0.835 0.671 0.745
Ca: 0.667 0.333 0.000
Nd: 0.168 0.832 0.000

Results
energy relative to the elements	47	kJ/mol of formula units
total magnetic moment	0.000	μB per formula unit
crystal system	orthorhombic


DFT (PBE-GGA) results for RbAcSnO4 after structural relaxation.

a b c (Å): 6.575 6.429 8.017
angles (deg): 90.00 105.14 90.00
Atoms (fractional coordinates):
Rb: 0.664 0.750 0.913
Rb: 0.336 0.250 0.087
Ac: 0.201 0.250 0.551
Ac: 0.799 0.750 0.449
Sn: 0.274 0.750 0.335
Sn: 0.726 0.250 0.665
O: 0.472 0.750 0.188
O: 0.066 0.979 0.329
O: 0.523 0.250 0.433
O: 0.066 0.521 0.329
O: 0.934 0.479 0.671
O: 0.934 0.021 0.671
O: 0.477 0.750 0.567
O: 0.528 0.250 0.812

Results
formation energy (no corrections)	-14.939	eV/f.u.
total magnetic moment	0.037	μB per formula unit
crystal system	monoclinic


DFT (PBE-GGA) results for ZrIN2O after structural relaxation.

a b c (Å): 4.180 4.180 4.018
angles (deg): 90.00 90.00 90.00
Atoms (fractional coordinates):
O: 0.000 0.000 0.500
N: 0.000 0.500 0.000
N: 0.500 0.000 0.000
Zr: 0.500 0.500 0.500
I: 0.000 0.000 0.000

Results
formation energy (no corrections)	4.739	eV/f.u.
total magnetic moment	0.894	μB per formula unit
crystal system	tetragonal


DFT (PBE-GGA) results for BeGaAu4 after structural relaxation.

a b c (Å): 5.193 6.623 6.623
angles (deg): 112.42 101.06 101.06
Atoms (fractional coordinates):
Au: 0.063 0.931 0.285
Au: 0.354 0.796 0.620
Au: 0.563 0.285 0.931
Au: 0.937 0.069 0.715
Au: 0.854 0.620 0.796
Au: 0.437 0.715 0.069
Au: 0.646 0.204 0.380
Au: 0.146 0.380 0.204
Be: 0.250 0.003 0.997
Be: 0.750 0.997 0.003
Ga: 0.250 0.380 0.620
Ga: 0.750 0.620 0.380

Results
energy relative to the elements	-69	kJ/mol of formula units
energy above the lowest structure with this stoichiometry	0	meV per atom
total magnetic moment	0.000	μB per formula unit
crystal system	monoclinic


DFT (PBE-GGA) results for Fe2TeW after structural relaxation.

a b c (Å): 5.073 5.073 5.073
angles (deg): 140.89 131.91 63.64
Atoms (fractional coordinates):
Te: 0.496 0.496 0.000
Fe: 0.239 0.739 0.500
Fe: 0.009 0.009 0.000
W: 0.756 0.256 0.500

Results
formation energy (no corrections)	2.000	eV/f.u.
total magnetic moment	4.906	μB per formula unit
crystal system	orthorhombic


| no. | VASP energy (eV for the cell shown) |
| --- | --- |
| 1 | -16.28 |
| 2 | -21.44 |
| 3 | -33.53 |
| 4 | -26.87 |
| 5 | -49.16 |
| 6 | -52.32 |
| 7 | -51.33 |
| 8 | -71.11 |
| 9 | -87.70 |
| 10 | -26.97 |
| 11 | -41.17 |
| 12 | -31.02 |